Record 1
First-principles (GGA-PBE) data for a relaxed structure of CaBe2Ru, as listed in Alexandria via LeMat-Bulk.

Properties
ΔE to the lowest computed polymorph   636 meV/atom
VASP energy   -4.179 eV/atom
Crystal system   tetragonal
Total magnetic moment   0.001 μB/cell

Cell lengths 3.855, 3.855, 7.907 Å; angles 90.00, 90.00, 90.00 degrees
Element x y z (fractional)
1 Ca 0.000 0.000 0.000
2 Ca 0.500 0.500 0.500
3 Be 0.000 0.000 0.500
4 Be 0.000 0.500 0.250
5 Be 0.500 0.000 0.750
6 Be 0.500 0.500 0.000
7 Ru 0.000 0.500 0.750
8 Ru 0.500 0.000 0.250

Record 2
First-principles (GGA-PBE) data for a relaxed structure of SrLaGe2, as listed in Alexandria via LeMat-Bulk.

Properties
VASP energy   -4.221 eV/atom
Crystal system   tetragonal
Total magnetic moment   0.000 μB/cell

Cell lengths 8.314, 8.314, 7.014 Å; angles 90.00, 90.00, 90.00 degrees
Element x y z (fractional)
1 Sr 0.000 0.000 0.000
2 Sr 0.000 0.500 0.250
3 Sr 0.500 0.000 0.750
4 Sr 0.500 0.500 0.500
5 La 0.000 0.000 0.500
6 La 0.000 0.500 0.750
7 La 0.500 0.000 0.250
8 La 0.500 0.500 0.000
9 Ge 0.244 0.250 0.625
10 Ge 0.250 0.744 0.875
11 Ge 0.250 0.756 0.375
12 Ge 0.256 0.250 0.125
13 Ge 0.744 0.750 0.125
14 Ge 0.750 0.244 0.375
15 Ge 0.750 0.256 0.875
16 Ge 0.756 0.750 0.625

Record 3
First-principles (GGA-PBE) data for a relaxed structure of SiAg7F12, as listed in Alexandria via LeMat-Bulk.

Properties
VASP energy   -3.910 eV/atom
Crystal system   trigonal
Total magnetic moment   0.000 μB/cell
E_form (uncorrected)   -1518 meV per atom

Cell lengths 7.833, 7.833, 7.833 Å; angles 112.68, 112.68, 112.68 degrees
Element x y z (fractional)
1 Si 0.000 0.000 0.000
2 Ag 0.105 0.254 0.682
3 Ag 0.254 0.682 0.105
4 Ag 0.318 0.895 0.746
5 Ag 0.500 0.500 0.500
6 Ag 0.682 0.105 0.254
7 Ag 0.746 0.318 0.895
8 Ag 0.895 0.746 0.318
9 F 0.045 0.164 0.259
10 F 0.161 0.682 0.336
11 F 0.164 0.259 0.045
12 F 0.259 0.045 0.164
13 F 0.318 0.664 0.839
14 F 0.336 0.161 0.682
15 F 0.664 0.839 0.318
16 F 0.682 0.336 0.161
17 F 0.741 0.955 0.836
18 F 0.836 0.741 0.955
19 F 0.839 0.318 0.664
20 F 0.955 0.836 0.741

Record 4
First-principles (GGA-PBE) data for a relaxed structure of Pu2InPt5, as listed in Alexandria via LeMat-Bulk.

Properties
VASP energy   -8.292 eV/atom
Crystal system   tetragonal
Total magnetic moment   20.030 μB/cell

Cell lengths 6.470, 6.470, 7.339 Å; angles 90.00, 90.00, 90.00 degrees
Element x y z (fractional)
1 Pu 0.000 0.500 0.000
2 Pu 0.000 0.500 0.500
3 Pu 0.500 0.000 0.000
4 Pu 0.500 0.000 0.500
5 In 0.000 0.000 0.406
6 In 0.500 0.500 0.906
7 Pt 0.000 0.000 0.023
8 Pt 0.219 0.219 0.742
9 Pt 0.219 0.781 0.742
10 Pt 0.281 0.281 0.242
11 Pt 0.281 0.719 0.242
12 Pt 0.500 0.500 0.523
13 Pt 0.719 0.281 0.242
14 Pt 0.719 0.719 0.242
15 Pt 0.781 0.219 0.742
16 Pt 0.781 0.781 0.742

Record 5
First-principles (GGA-PBE) data for a relaxed structure of TaBeCu2, as listed in Alexandria via LeMat-Bulk.

Properties
VASP energy   -5.822 eV/atom
Crystal system   monoclinic
Total magnetic moment   0.000 μB/cell

Cell lengths 2.610, 3.939, 5.117 Å; angles 90.00, 102.33, 90.00 degrees
Element x y z (fractional)
1 Ta 0.000 0.000 0.000
2 Be 0.500 0.000 0.500
3 Cu 0.341 0.500 0.722
4 Cu 0.659 0.500 0.278

Record 6
First-principles (GGA-PBE) data for a relaxed structure of CeZrNb, as listed in Alexandria via LeMat-Bulk.

Properties
ΔE to the lowest computed polymorph   123 meV/atom
VASP energy   -7.880 eV/atom
Crystal system   hexagonal
Total magnetic moment   0.000 μB/cell

Cell lengths 3.354, 3.354, 13.973 Å; angles 90.00, 90.00, 120.00 degrees
Element x y z (fractional)
1 Ce 0.333 0.667 0.000
2 Ce 0.667 0.333 0.500
3 Zr 0.333 0.667 0.686
4 Zr 0.667 0.333 0.186
5 Nb 0.000 0.000 0.343
6 Nb 0.000 0.000 0.843

Record 7
First-principles (GGA-PBE) data for a relaxed structure of LiCN2O, as listed in Alexandria via LeMat-Bulk.

Properties
VASP energy   -5.282 eV/atom
Crystal system   tetragonal
Total magnetic moment   0.946 μB/cell
E_form (uncorrected)   1268 meV per atom

Cell lengths 2.894, 2.894, 6.291 Å; angles 90.00, 90.00, 90.00 degrees
Element x y z (fractional)
1 Li 0.000 0.000 0.000
2 C 0.500 0.500 0.500
3 N 0.000 0.500 0.500
4 N 0.500 0.000 0.500
5 O 0.500 0.500 0.000

Record 8
First-principles (GGA-PBE) data for a relaxed structure of As4Os, as listed in Alexandria via LeMat-Bulk.

Properties
ΔE to the lowest computed polymorph   0 meV/atom
VASP energy   -5.349 eV/atom
Crystal system   cubic
Total magnetic moment   0.000 μB/cell

Cell lengths 5.929, 5.929, 5.929 Å; angles 90.00, 90.00, 90.00 degrees
Element x y z (fractional)
1 As 0.250 0.250 0.250
2 As 0.250 0.250 0.750
3 As 0.250 0.750 0.250
4 As 0.250 0.750 0.750
5 As 0.750 0.250 0.250
6 As 0.750 0.250 0.750
7 As 0.750 0.750 0.250
8 As 0.750 0.750 0.750
9 Os 0.000 0.000 0.000
10 Os 0.500 0.500 0.500

Record 9
First-principles (GGA-PBE) data for a relaxed structure of Nd3Al2GePt9, as listed in Alexandria via LeMat-Bulk.

Properties
VASP energy   -6.054 eV/atom
Crystal system   trigonal
Total magnetic moment   0.000 μB/cell

Cell lengths 6.595, 6.595, 8.649 Å; angles 90.00, 90.00, 120.00 degrees
Element x y z (fractional)
1 Nd 0.000 0.000 0.000
2 Nd 0.333 0.667 0.716
3 Nd 0.667 0.333 0.284
4 Al 0.333 0.667 0.189
5 Al 0.667 0.333 0.811
6 Ge 0.000 0.000 0.500
7 Pt 0.000 0.500 0.000
8 Pt 0.140 0.281 0.281
9 Pt 0.140 0.860 0.281
10 Pt 0.281 0.140 0.719
11 Pt 0.500 0.000 0.000
12 Pt 0.500 0.500 0.000
13 Pt 0.719 0.860 0.281
14 Pt 0.860 0.140 0.719
15 Pt 0.860 0.719 0.719

Record 10
First-principles (GGA-PBE) data for a relaxed structure of Pm2TmAg2, as listed in Alexandria via LeMat-Bulk.

Properties
ΔE to the lowest computed polymorph   122 meV/atom
VASP energy   -4.014 eV/atom
Crystal system   monoclinic
Total magnetic moment   0.000 μB/cell

Cell lengths 5.813, 4.693, 10.813 Å; angles 90.00, 96.61, 90.00 degrees
Element x y z (fractional)
1 Pm 0.108 0.250 0.377
2 Pm 0.254 0.250 0.048
3 Pm 0.746 0.750 0.952
4 Pm 0.892 0.750 0.623
5 Tm 0.409 0.250 0.714
6 Tm 0.591 0.750 0.286
7 Ag 0.234 0.750 0.855
8 Ag 0.370 0.750 0.532
9 Ag 0.630 0.250 0.468
10 Ag 0.766 0.250 0.145

Record 11
First-principles (GGA-PBE) data for a relaxed structure of NpMnCoOs, as listed in Alexandria via LeMat-Bulk.

Properties
VASP energy   -9.913 eV/atom
Crystal system   cubic
Total magnetic moment   6.007 μB/cell

Cell lengths 6.302, 6.302, 6.302 Å; angles 90.00, 90.00, 90.00 degrees
Element x y z (fractional)
1 Np 0.000 0.000 0.000
2 Np 0.000 0.500 0.500
3 Np 0.500 0.000 0.500
4 Np 0.500 0.500 0.000
5 Mn 0.000 0.000 0.500
6 Mn 0.000 0.500 0.000
7 Mn 0.500 0.000 0.000
8 Mn 0.500 0.500 0.500
9 Co 0.250 0.250 0.750
10 Co 0.250 0.750 0.250
11 Co 0.750 0.250 0.250
12 Co 0.750 0.750 0.750
13 Os 0.250 0.250 0.250
14 Os 0.250 0.750 0.750
15 Os 0.750 0.250 0.750
16 Os 0.750 0.750 0.250

Record 12
First-principles (GGA-PBE) data for a relaxed structure of TaTc2Os, as listed in Alexandria via LeMat-Bulk.

Properties
ΔE to the lowest computed polymorph   152 meV/atom
VASP energy   -10.847 eV/atom
Crystal system   cubic
Total magnetic moment   0.000 μB/cell

Cell lengths 6.275, 6.275, 6.275 Å; angles 90.00, 90.00, 90.00 degrees
Element x y z (fractional)
1 Ta 0.000 0.000 0.000
2 Ta 0.000 0.500 0.500
3 Ta 0.500 0.000 0.500
4 Ta 0.500 0.500 0.000
5 Tc 0.250 0.250 0.250
6 Tc 0.250 0.250 0.750
7 Tc 0.250 0.750 0.250
8 Tc 0.250 0.750 0.750
9 Tc 0.750 0.250 0.250
10 Tc 0.750 0.250 0.750
11 Tc 0.750 0.750 0.250
12 Tc 0.750 0.750 0.750
13 Os 0.000 0.000 0.500
14 Os 0.000 0.500 0.000
15 Os 0.500 0.000 0.000
16 Os 0.500 0.500 0.500

Number 1: volume 14.687 A^3/atom, density 4.5 Mg/m³. Number 2: volume 30.304 A^3/atom, density 5.1 Mg/m³. Number 3: volume 15.928 A^3/atom, density 5.3 Mg/m³. Number 4: volume 19.204 A^3/atom, density 17.1 Mg/m³. Number 5: volume 12.847 A^3/atom, density 10.2 Mg/m³. Number 6: volume 22.681 A^3/atom, density 7.9 Mg/m³. Number 7: volume 10.536 A^3/atom, density 2.0 Mg/m³. Number 8: volume 20.846 A^3/atom, density 7.8 Mg/m³. Number 9: volume 21.719 A^3/atom, density 11.8 Mg/m³. Number 10: volume 29.304 A^3/atom, density 7.6 Mg/m³. Number 11: volume 15.645 A^3/atom, density 14.4 Mg/m³. Number 12: volume 15.441 A^3/atom, density 15.2 Mg/m³.